1.
# GaSi2C (SCAN, single point on PBEsol structure)
data_GaSi2C
_chemical_formula_sum 'Ga1 Si2 C1'
_symmetry_space_group_name_H-M 'P 1'
_symmetry_Int_Tables_number 1
_cell_length_a 4.188
_cell_length_b 4.188
_cell_length_c 4.188
_cell_angle_alpha 60.00
_cell_angle_beta 60.00
_cell_angle_gamma 60.00
loop_
_symmetry_equiv_pos_as_xyz
'x,y,z'
loop_
_atom_site_label
_atom_site_type_symbol
_atom_site_fract_x
_atom_site_fract_y
_atom_site_fract_z
Si1 Si 0.250 0.250 0.250
Si2 Si 0.750 0.750 0.750
C1 C 0.000 0.000 0.000
Ga1 Ga 0.500 0.500 0.500
# DOS(E_F) = 1.57 states/eV/f.u.
# Energy above the most stable polymorph in this dataset = 1251.9 meV/atom
# VASP energy = -10.0471 eV/atom
# E_form (uncorrected) = 1572.3 meV/atom



2.
# CoTcTe (SCAN, single point on PBEsol structure)
data_CoTcTe
_chemical_formula_sum 'Co1 Tc1 Te1'
_symmetry_space_group_name_H-M 'P 1'
_symmetry_Int_Tables_number 1
_cell_length_a 3.016
_cell_length_b 4.141
_cell_length_c 4.141
_cell_angle_alpha 120.00
_cell_angle_beta 90.00
_cell_angle_gamma 90.00
loop_
_symmetry_equiv_pos_as_xyz
'x,y,z'
loop_
_atom_site_label
_atom_site_type_symbol
_atom_site_fract_x
_atom_site_fract_y
_atom_site_fract_z
Co1 Co 0.166 0.000 0.000
Tc1 Tc 0.666 0.333 0.667
Te1 Te 0.168 0.667 0.333
# DOS(E_F) = 2.74 states/eV/f.u.
# VASP energy = -29.3128 eV/atom
# E_form (uncorrected) = 559.0 meV/atom



3.
# LiCuNi2 (SCAN, single point on PBEsol structure)
data_LiCuNi2
_chemical_formula_sum 'Li1 Cu1 Ni2'
_symmetry_space_group_name_H-M 'P 1'
_symmetry_Int_Tables_number 1
_cell_length_a 2.423
_cell_length_b 3.615
_cell_length_c 4.925
_cell_angle_alpha 90.00
_cell_angle_beta 90.00
_cell_angle_gamma 90.00
loop_
_symmetry_equiv_pos_as_xyz
'x,y,z'
loop_
_atom_site_label
_atom_site_type_symbol
_atom_site_fract_x
_atom_site_fract_y
_atom_site_fract_z
Ni1 Ni 0.000 0.000 0.013
Ni2 Ni 0.500 0.500 0.239
Cu1 Cu 0.000 0.000 0.499
Li1 Li 0.500 0.500 0.749
# DOS(E_F) = 2.32 states/eV/f.u.
# VASP energy = -12.4377 eV/atom
# Formation energy from the elements = 46 meV/atom



4.
# Al2RhC (SCAN, single point on PBEsol structure)
data_Al2RhC
_chemical_formula_sum 'Al4 Rh2 C2'
_symmetry_space_group_name_H-M 'P 1'
_symmetry_Int_Tables_number 1
_cell_length_a 5.106
_cell_length_b 5.106
_cell_length_c 5.106
_cell_angle_alpha 103.79
_cell_angle_beta 103.79
_cell_angle_gamma 121.54
loop_
_symmetry_equiv_pos_as_xyz
'x,y,z'
loop_
_atom_site_label
_atom_site_type_symbol
_atom_site_fract_x
_atom_site_fract_y
_atom_site_fract_z
C1 C 0.750 0.250 0.500
C2 C 0.500 0.500 0.000
Rh1 Rh 0.250 0.750 0.500
Rh2 Rh 0.000 0.000 0.000
Al1 Al 0.790 0.875 0.415
Al2 Al 0.460 0.375 0.585
Al3 Al 0.625 0.210 0.085
Al4 Al 0.125 0.540 0.915
# DOS(E_F) = 2.30 states/eV/f.u.
# VASP energy = -14.8091 eV/atom
# Formation energy from the elements = 35 meV/atom



5.
# Tl2SiMo (SCAN, single point on PBEsol structure)
data_Tl2SiMo
_chemical_formula_sum 'Tl2 Si1 Mo1'
_symmetry_space_group_name_H-M 'P 1'
_symmetry_Int_Tables_number 1
_cell_length_a 3.238
_cell_length_b 3.238
_cell_length_c 9.207
_cell_angle_alpha 79.87
_cell_angle_beta 79.87
_cell_angle_gamma 60.00
loop_
_symmetry_equiv_pos_as_xyz
'x,y,z'
loop_
_atom_site_label
_atom_site_type_symbol
_atom_site_fract_x
_atom_site_fract_y
_atom_site_fract_z
Mo1 Mo 0.511 0.511 0.466
Si1 Si 0.236 0.236 0.291
Tl1 Tl 0.991 0.991 0.026
Tl2 Tl 0.761 0.761 0.718
# DOS(E_F) = 1.56 states/eV/f.u.
# Energy above the most stable polymorph in this dataset = 0.0 meV/atom
# VASP energy = -46.9731 eV/atom
# E_form (uncorrected) = 431.3 meV/atom



6.
# TiSn2Os (SCAN, single point on PBEsol structure)
data_TiSn2Os
_chemical_formula_sum 'Ti1 Sn2 Os1'
_symmetry_space_group_name_H-M 'P 1'
_symmetry_Int_Tables_number 1
_cell_length_a 4.631
_cell_length_b 4.631
_cell_length_c 4.631
_cell_angle_alpha 60.00
_cell_angle_beta 60.00
_cell_angle_gamma 60.00
loop_
_symmetry_equiv_pos_as_xyz
'x,y,z'
loop_
_atom_site_label
_atom_site_type_symbol
_atom_site_fract_x
_atom_site_fract_y
_atom_site_fract_z
Os1 Os 0.500 0.500 0.500
Sn1 Sn 0.250 0.250 0.250
Sn2 Sn 0.750 0.750 0.750
Ti1 Ti 0.000 0.000 0.000
# DOS(E_F) = 4.74 states/eV/f.u.
# VASP energy = -39.8290 eV/atom
# Formation energy from the elements = 109 meV/atom



7.
# MnCrAs2 (SCAN, single point on PBEsol structure)
data_MnCrAs2
_chemical_formula_sum 'Mn2 Cr2 As4'
_symmetry_space_group_name_H-M 'P 1'
_symmetry_Int_Tables_number 1
_cell_length_a 6.763
_cell_length_b 6.763
_cell_length_c 5.560
_cell_angle_alpha 127.45
_cell_angle_beta 127.45
_cell_angle_gamma 90.00
loop_
_symmetry_equiv_pos_as_xyz
'x,y,z'
loop_
_atom_site_label
_atom_site_type_symbol
_atom_site_fract_x
_atom_site_fract_y
_atom_site_fract_z
Cr1 Cr 0.750 0.250 0.500
Cr2 Cr 0.500 0.500 0.000
As1 As 0.371 0.875 0.250
As2 As 0.879 0.375 0.250
As3 As 0.125 0.121 0.750
As4 As 0.625 0.629 0.750
Mn1 Mn 0.250 0.750 0.500
Mn2 Mn 0.000 0.000 0.000
# DOS(E_F) = 2.24 states/eV/f.u.
# Energy above the most stable polymorph in this dataset = 0.0 meV/atom
# VASP energy = -19.3430 eV/atom
# Formation energy from the elements = -88 meV/atom



8.
# Mg3TiH8 (SCAN, single point on PBEsol structure)
data_Mg3TiH8
_chemical_formula_sum 'Mg3 Ti1 H8'
_symmetry_space_group_name_H-M 'P 1'
_symmetry_Int_Tables_number 1
_cell_length_a 4.592
_cell_length_b 4.592
_cell_length_c 4.592
_cell_angle_alpha 90.00
_cell_angle_beta 90.00
_cell_angle_gamma 90.00
loop_
_symmetry_equiv_pos_as_xyz
'x,y,z'
loop_
_atom_site_label
_atom_site_type_symbol
_atom_site_fract_x
_atom_site_fract_y
_atom_site_fract_z
H1 H 0.242 0.242 0.758
H2 H 0.242 0.758 0.242
H3 H 0.758 0.242 0.242
H4 H 0.758 0.758 0.758
H5 H 0.758 0.758 0.242
H6 H 0.758 0.242 0.758
H7 H 0.242 0.758 0.758
H8 H 0.242 0.242 0.242
Mg1 Mg 0.500 0.500 0.000
Mg2 Mg 0.500 0.000 0.500
Mg3 Mg 0.000 0.500 0.500
Ti1 Ti 0.000 0.000 0.000
# DOS(E_F) = 2.58 states/eV/f.u.
# VASP energy = -5.1391 eV/atom



9.
# CrHg2Os (SCAN, single point on PBEsol structure)
data_CrHg2Os
_chemical_formula_sum 'Cr1 Hg2 Os1'
_symmetry_space_group_name_H-M 'P 1'
_symmetry_Int_Tables_number 1
_cell_length_a 4.015
_cell_length_b 4.015
_cell_length_c 5.003
_cell_angle_alpha 113.65
_cell_angle_beta 113.65
_cell_angle_gamma 90.00
loop_
_symmetry_equiv_pos_as_xyz
'x,y,z'
loop_
_atom_site_label
_atom_site_type_symbol
_atom_site_fract_x
_atom_site_fract_y
_atom_site_fract_z
Cr1 Cr 0.000 0.000 0.000
Hg1 Hg 0.750 0.250 0.500
Hg2 Hg 0.250 0.750 0.500
Os1 Os 0.500 0.500 0.000
# DOS(E_F) = 4.32 states/eV/f.u.
# Energy above the most stable polymorph in this dataset = 0.0 meV/atom
# VASP energy = -55.9886 eV/atom
# Formation energy from the elements = 661 meV/atom



10.
# LiZrFe2 (SCAN, single point on PBEsol structure)
data_LiZrFe2
_chemical_formula_sum 'Li1 Zr1 Fe2'
_symmetry_space_group_name_H-M 'P 1'
_symmetry_Int_Tables_number 1
_cell_length_a 4.238
_cell_length_b 4.238
_cell_length_c 4.238
_cell_angle_alpha 60.00
_cell_angle_beta 60.00
_cell_angle_gamma 60.00
loop_
_symmetry_equiv_pos_as_xyz
'x,y,z'
loop_
_atom_site_label
_atom_site_type_symbol
_atom_site_fract_x
_atom_site_fract_y
_atom_site_fract_z
Fe1 Fe 0.000 0.000 0.000
Fe2 Fe 0.750 0.750 0.750
Li1 Li 0.500 0.500 0.500
Zr1 Zr 0.250 0.250 0.250
# DOS(E_F) = 2.55 states/eV/f.u.
# VASP energy = -17.1799 eV/atom
# Formation energy from the elements = 157 meV/atom



11.
# RbNbCl2 (SCAN, single point on PBEsol structure)
data_RbNbCl2
_chemical_formula_sum 'Rb1 Nb1 Cl2'
_symmetry_space_group_name_H-M 'P 1'
_symmetry_Int_Tables_number 1
_cell_length_a 3.355
_cell_length_b 3.355
_cell_length_c 9.703
_cell_angle_alpha 80.05
_cell_angle_beta 80.05
_cell_angle_gamma 60.00
loop_
_symmetry_equiv_pos_as_xyz
'x,y,z'
loop_
_atom_site_label
_atom_site_type_symbol
_atom_site_fract_x
_atom_site_fract_y
_atom_site_fract_z
Nb1 Nb 0.000 0.000 0.000
Rb1 Rb 0.500 0.500 0.500
Cl1 Cl 0.916 0.916 0.253
Cl2 Cl 0.084 0.084 0.747
# DOS(E_F) = 1.83 states/eV/f.u.
# Energy above the most stable polymorph in this dataset = 0.0 meV/atom
# VASP energy = -18.1559 eV/atom
# E_form (uncorrected) = -699.7 meV/atom



12.
# MgTlPb2 (SCAN, single point on PBEsol structure)
data_MgTlPb2
_chemical_formula_sum 'Mg1 Tl1 Pb2'
_symmetry_space_group_name_H-M 'P 1'
_symmetry_Int_Tables_number 1
_cell_length_a 3.362
_cell_length_b 3.362
_cell_length_c 10.601
_cell_angle_alpha 90.00
_cell_angle_beta 90.00
_cell_angle_gamma 111.88
loop_
_symmetry_equiv_pos_as_xyz
'x,y,z'
loop_
_atom_site_label
_atom_site_type_symbol
_atom_site_fract_x
_atom_site_fract_y
_atom_site_fract_z
Pb1 Pb 0.000 0.000 0.231
Pb2 Pb 0.000 0.000 0.769
Tl1 Tl 0.500 0.500 0.500
Mg1 Mg 0.500 0.500 0.000
# DOS(E_F) = 1.59 states/eV/f.u.
# VASP energy = -57.2701 eV/atom
# Formation energy from the elements = -46 meV/atom



13.
# CrSn2HgIr (SCAN, single point on PBEsol structure)
data_CrSn2HgIr
_chemical_formula_sum 'Cr1 Sn2 Hg1 Ir1'
_symmetry_space_group_name_H-M 'P 1'
_symmetry_Int_Tables_number 1
_cell_length_a 4.444
_cell_length_b 4.996
_cell_length_c 4.996
_cell_angle_alpha 90.00
_cell_angle_beta 90.00
_cell_angle_gamma 90.00
loop_
_symmetry_equiv_pos_as_xyz
'x,y,z'
loop_
_atom_site_label
_atom_site_type_symbol
_atom_site_fract_x
_atom_site_fract_y
_atom_site_fract_z
Cr1 Cr 0.000 0.000 0.000
Ir1 Ir 0.500 0.000 0.000
Hg1 Hg 0.500 0.500 0.500
Sn1 Sn 0.000 0.000 0.500
Sn2 Sn 0.000 0.500 0.000
# DOS(E_F) = 2.46 states/eV/f.u.
# VASP energy = -45.1943 eV/atom
# Formation energy from the elements = 704 meV/atom



14.
# Rb2CeAgI6 (SCAN, single point on PBEsol structure)
data_Rb2CeAgI6
_chemical_formula_sum 'Rb2 Ce1 Ag1 I6'
_symmetry_space_group_name_H-M 'P 1'
_symmetry_Int_Tables_number 1
_cell_length_a 8.488
_cell_length_b 8.488
_cell_length_c 8.488
_cell_angle_alpha 60.00
_cell_angle_beta 60.00
_cell_angle_gamma 60.00
loop_
_symmetry_equiv_pos_as_xyz
'x,y,z'
loop_
_atom_site_label
_atom_site_type_symbol
_atom_site_fract_x
_atom_site_fract_y
_atom_site_fract_z
Rb1 Rb 0.750 0.750 0.750
Rb2 Rb 0.250 0.250 0.250
Ce1 Ce 0.500 0.500 0.500
Ag1 Ag 0.000 0.000 0.000
I1 I 0.756 0.244 0.244
I2 I 0.756 0.756 0.244
I3 I 0.244 0.756 0.756
I4 I 0.756 0.244 0.756
I5 I 0.244 0.756 0.244
I6 I 0.244 0.244 0.756
# VASP energy = -35.0819 eV/atom
# E_form (uncorrected) = -1296.0 meV/atom